Record 1
The following is a SCAN calculation of Ru4Pt at its PBEsol-relaxed geometry, from Alexandria.

abc: 3.783 4.646 4.646
angles: 80.46 65.97 65.97
Atoms (fractional coordinates):
Ru  0.804  0.790  0.602
Ru  0.196  0.210  0.398
Ru  0.594  0.602  0.210
Ru  0.406  0.398  0.790
Pt  0.000  0.000  0.000

The formation energy is 0.0330 eV/atom. The space-group type is I4/m (87).

---

Record 2
The following is a SCAN calculation of CaHfMg6 at its PBEsol-relaxed geometry, from Alexandria.

abc: 4.616 6.386 6.386
angles: 90.00 90.00 90.00
Atoms (fractional coordinates):
Ca  0.500  0.500  0.500
Hf  0.500  0.000  0.000
Mg  0.500  0.500  0.000
Mg  0.500  0.000  0.500
Mg  0.000  0.236  0.764
Mg  0.000  0.764  0.236
Mg  0.000  0.236  0.236
Mg  0.000  0.764  0.764

The formation energy is 0.0920 eV/atom. The space-group type is P4/mmm (123).

---

Record 3
The following is a SCAN calculation of ZrAgSe at its PBEsol-relaxed geometry, from Alexandria.

abc: 3.524 4.475 4.475
angles: 120.00 90.00 90.00
Atoms (fractional coordinates):
Ag  0.000  0.000  0.000
Se  0.500  0.333  0.667
Zr  0.500  0.667  0.333

The calculation puts the uncorrected formation energy at -0.3314 eV per atom. The space-group type is P-6m2 (187).

---

Record 4
The following is a SCAN calculation of SrLaTlCuO5 at its PBEsol-relaxed geometry, from Alexandria.

abc: 3.750 3.750 8.772
angles: 90.00 90.00 90.00
Atoms (fractional coordinates):
Sr  0.500  0.500  0.785
La  0.500  0.500  0.197
Tl  0.000  0.000  0.498
Cu  0.000  0.000  0.990
O  0.000  0.000  0.734
O  0.000  0.000  0.259
O  0.000  0.500  0.008
O  0.500  0.000  0.008
O  0.500  0.500  0.481

The calculation puts the uncorrected formation energy at -2.1339 eV per atom. The space-group type is P4mm (99).

---

Record 5
The following is a SCAN calculation of La2Ti3ZnO10 at its PBEsol-relaxed geometry, from Alexandria.

abc: 3.810 3.810 13.685
angles: 98.00 98.00 90.00
Atoms (fractional coordinates):
La  0.420  0.420  0.840
La  0.580  0.580  0.160
Ti  0.156  0.156  0.313
Ti  0.844  0.844  0.687
Ti  0.000  0.000  0.000
Zn  0.750  0.250  0.500
O  0.501  0.001  0.002
O  0.999  0.499  0.998
O  0.642  0.142  0.284
O  0.139  0.639  0.278
O  0.361  0.861  0.722
O  0.858  0.358  0.716
O  0.223  0.223  0.446
O  0.777  0.777  0.554
O  0.072  0.072  0.144
O  0.928  0.928  0.856

The calculation puts the uncorrected formation energy at -3.3039 eV per atom. The space-group type is I-4m2 (119).

---

Record 6
The following is a SCAN calculation of La2MnZnRh at its PBEsol-relaxed geometry, from Alexandria.

abc: 4.373 5.196 5.196
angles: 90.00 90.00 90.00
Atoms (fractional coordinates):
Zn  0.500  0.500  0.500
Mn  0.000  0.000  0.000
Rh  0.500  0.000  0.000
La  0.000  0.000  0.500
La  0.000  0.500  0.000

The formation energy is 0.1101 eV/atom. The space-group type is P4/mmm (123).

---

Number 1: total energy -3.07714 Ry/atom, magnetic moment 0.00 Bohr magnetons per cell, Fermi-level density of states 4.65 states/eV per cell. Number 2: total energy -0.93199 Ry/atom, magnetic moment 0.00 Bohr magnetons per cell, Fermi-level density of states 6.18 states/eV per cell. Number 3: total energy -2.03686 Ry/atom, magnetic moment 0.00 Bohr magnetons per cell, Fermi-level density of states 1.76 states/eV per cell. Number 4: total energy -1.66025 Ry/atom, magnetic moment 0.00 Bohr magnetons per cell, Fermi-level density of states 0.74 states/eV per cell. Number 5: total energy -1.20809 Ry/atom, magnetic moment 0.00 Bohr magnetons per cell, Fermi-level density of states 0.00 states/eV per cell. Number 6: total energy -2.22262 Ry/atom, magnetic moment 0.00 Bohr magnetons per cell, Fermi-level density of states 3.75 states/eV per cell.